[1]
# LaBeAu

LaBeAu after structural relaxation (GGA-PBEsol, Alexandria via LeMat-Bulk).

The structure in POSCAR format:
```
LaBeAu
1.0
4.811 0.000 0.000
2.405 4.166 0.000
2.405 1.389 3.928
Au La Be
1 1 1
direct
0.000 0.000 0.000
0.250 0.250 0.250
0.500 0.500 0.500
```

## Properties
- E above lowest polymorph (meV/atom) = 481
- formation enthalpy at 0 K (kJ/mol of formula units) = 124

---

[2]
# LaBe2MoAu

LaBe2MoAu after structural relaxation (GGA-PBEsol, Alexandria via LeMat-Bulk).

The structure in POSCAR format:
```
LaBe2MoAu
1.0
4.679 0.000 0.000
0.000 4.679 0.000
0.000 0.000 4.686
Mo Be Au La
1 2 1 1
direct
0.000 0.000 0.500
0.500 0.000 0.000
0.000 0.500 0.000
0.500 0.500 0.500
0.000 0.000 0.000
```

## Properties
- formation enthalpy at 0 K (kJ/mol of formula units) = 1028

---

[3]
# RbLa2BeAu

RbLa2BeAu after structural relaxation (GGA-PBEsol, Alexandria via LeMat-Bulk).

The structure in POSCAR format:
```
RbLa2BeAu
1.0
5.186 0.000 0.000
0.000 5.583 0.000
0.000 0.000 5.583
La Rb Be Au
2 1 1 1
direct
0.000 0.500 0.000
0.000 0.000 0.500
0.000 0.000 0.000
0.500 0.500 0.500
0.500 0.000 0.000
```

## Properties
- formation enthalpy at 0 K (kJ/mol of formula units) = 702

---

[4]
# LiBe4Au

LiBe4Au after structural relaxation (GGA-PBEsol, Alexandria via LeMat-Bulk).

The structure in POSCAR format:
```
LiBe4Au
1.0
-2.305 2.827 -2.362
-3.828 1.442 1.465
-0.407 4.118 1.328
Be Au Li
4 1 1
direct
0.876 0.375 0.375
0.375 0.375 0.876
0.375 0.876 0.375
0.375 0.375 0.375
0.000 0.000 0.000
0.750 0.750 0.750
```

## Properties
- formation enthalpy at 0 K (kJ/mol of formula units) = -160

---

[5]
# LiBe2Au

LiBe2Au after structural relaxation (GGA-PBEsol, Alexandria via LeMat-Bulk).

The structure in POSCAR format:
```
LiBe2Au
1.0
3.976 0.000 0.000
1.988 3.443 0.000
1.988 1.148 3.246
Au Li Be
1 1 2
direct
0.000 0.000 0.000
0.500 0.500 0.500
0.250 0.250 0.250
0.750 0.750 0.750
```

## Properties
- formation enthalpy at 0 K (kJ/mol of formula units) = -93

---

[6]
# Li2BeAu

Li2BeAu after structural relaxation (GGA-PBEsol, Alexandria via LeMat-Bulk).

The structure in POSCAR format:
```
Li2BeAu
1.0
-1.300 -1.968 1.379
1.988 -2.739 -2.036
3.529 0.043 3.389
Li Au Be
2 1 1
direct
0.000 0.000 0.747
0.000 0.000 0.253
0.500 0.500 0.000
0.500 0.500 0.500
```

## Properties
- formation enthalpy at 0 K (kJ/mol of formula units) = -40

---

[7]
# LiBe2AuS

LiBe2AuS after structural relaxation (GGA-PBEsol, Alexandria via LeMat-Bulk).

The structure in POSCAR format:
```
LiBe2AuS
1.0
-0.165 4.062 -1.346
-3.163 -1.024 -2.699
-3.498 1.081 3.690
Au Be Li S
1 2 1 1
direct
0.000 0.000 0.000
0.000 0.500 0.000
0.500 0.000 0.000
0.500 0.500 0.500
0.000 0.000 0.500
```

## Properties
- formation energy from raw total energies (eV/atom) = 0.35

---

[8]
# Mg2BeAu

Mg2BeAu after structural relaxation (GGA-PBEsol, Alexandria via LeMat-Bulk).

The structure in POSCAR format:
```
Mg2BeAu
1.0
2.968 0.000 0.000
1.484 2.570 0.000
1.484 0.857 8.719
Mg Au Be
2 1 1
direct
0.254 0.254 0.237
0.746 0.746 0.763
0.500 0.500 0.500
0.000 0.000 0.000
```

## Properties
- formation enthalpy at 0 K (kJ/mol of formula units) = 44

---

[9]
# MgBe4Au

MgBe4Au after structural relaxation (GGA-PBEsol, Alexandria via LeMat-Bulk).

The structure in POSCAR format:
```
MgBe4Au
1.0
-1.556 -3.355 2.559
2.454 -1.523 3.448
-1.308 0.815 4.225
Au Be Mg
1 4 1
direct
0.000 0.000 0.000
0.626 0.626 0.626
0.122 0.626 0.626
0.626 0.122 0.626
0.626 0.626 0.122
0.250 0.250 0.250
```

## Properties
- formation enthalpy at 0 K (kJ/mol of formula units) = -87

---

[10]
# Mg4BeAu

Mg4BeAu after structural relaxation (GGA-PBEsol, Alexandria via LeMat-Bulk).

The structure in POSCAR format:
```
Mg4BeAu
1.0
-1.519 -4.342 2.919
1.942 -4.935 -1.246
3.570 -2.439 3.314
Mg Au Be
4 1 1
direct
0.375 0.375 0.874
0.874 0.375 0.375
0.375 0.874 0.375
0.375 0.375 0.375
0.750 0.750 0.750
0.000 0.000 0.000
```

## Properties
- formation enthalpy at 0 K (kJ/mol of formula units) = 215

---

[11]
# MgBe2Au2

MgBe2Au2 after structural relaxation (GGA-PBEsol, Alexandria via LeMat-Bulk).

The structure in POSCAR format:
```
MgBe2Au2
1.0
3.381 0.000 0.000
0.000 3.381 0.000
-1.691 -1.691 6.257
Be Au Mg
2 2 1
direct
0.750 0.250 0.500
0.250 0.750 0.500
0.383 0.383 0.766
0.617 0.617 0.234
0.000 0.000 0.000
```

## Properties
- E above lowest polymorph (meV/atom) = 17
- formation enthalpy at 0 K (kJ/mol of formula units) = -134

---

[12]
# Mg2BeAu

Mg2BeAu after structural relaxation (GGA-PBEsol, Alexandria via LeMat-Bulk).

The structure in POSCAR format:
```
Mg2BeAu
1.0
3.393 0.000 0.000
0.000 4.337 0.000
0.000 0.000 4.337
Au Be Mg
1 1 2
direct
0.500 0.500 0.500
0.500 0.000 0.000
0.000 0.000 0.500
0.000 0.500 0.000
```

## Properties
- formation enthalpy at 0 K (kJ/mol of formula units) = -46